No. 1
Here is a PBEsol-optimized structure of CrBiTeO6 from Alexandria via LeMat-Bulk. Energies are from meta-GGA SCAN.

Computed properties:
As for the crystal system: trigonal. The calculated total energy is -372.03 eV per cell. Its space group is P-31c. The formation energy without anion corrections comes out at -1.60 eV per atom.

a = 5.1740 Å, b = 5.1740 Å, c = 9.9169 Å
α = 90.00°, β = 90.00°, γ = 120.00°
Sites, in units of the cell vectors:
Cr: 0.3333 0.6667 0.7500
Cr: 0.6667 0.3333 0.2500
Bi: 0.0000 0.0000 0.5000
Bi: 0.0000 0.0000 0.0000
Te: 0.6667 0.3333 0.7500
Te: 0.3333 0.6667 0.2500
O: 0.6306 0.0015 0.6415
O: 0.9985 0.6291 0.6415
O: 0.3709 0.3694 0.6415
O: 0.3694 0.3709 0.1415
O: 0.6291 0.9985 0.1415
O: 0.0015 0.6306 0.1415
O: 0.3694 0.9985 0.3585
O: 0.0015 0.3709 0.3585
O: 0.6291 0.6306 0.3585
O: 0.6306 0.6291 0.8585
O: 0.3709 0.0015 0.8585
O: 0.9985 0.3694 0.8585


No. 2
Here is a PBEsol-optimized structure of Mn2WCl from Alexandria via LeMat-Bulk. Energies are from meta-GGA SCAN.

Computed properties:
As for the crystal system: trigonal. The calculated total energy is -112.89 eV per cell. Its space group is R3m. The formation energy without anion corrections comes out at 0.32 eV per atom.

a = 2.7838 Å, b = 2.7838 Å, c = 8.1328 Å
α = 80.15°, β = 80.15°, γ = 60.00°
Sites, in units of the cell vectors:
Mn: 0.0022 0.0022 0.9934
Mn: 0.7436 0.7436 0.7693
W: 0.5000 0.5000 0.5000
Cl: 0.2542 0.2542 0.2373


Repeat the second record exactly.
Here is a PBEsol-optimized structure of Mn2WCl from Alexandria via LeMat-Bulk. Energies are from meta-GGA SCAN.

Computed properties:
As for the crystal system: trigonal. The calculated total energy is -112.89 eV per cell. Its space group is R3m. The formation energy without anion corrections comes out at 0.32 eV per atom.

a = 2.7838 Å, b = 2.7838 Å, c = 8.1328 Å
α = 80.15°, β = 80.15°, γ = 60.00°
Sites, in units of the cell vectors:
Mn: 0.0022 0.0022 0.9934
Mn: 0.7436 0.7436 0.7693
W: 0.5000 0.5000 0.5000
Cl: 0.2542 0.2542 0.2373


calculated total energy of number 1 (CrBiTeO6)?
-372.03 eV per cell